A plane-wave DFT calculation with SCAN was carried out for ZrPt2Rh at its PBEsol-relaxed geometry.

```
data_ZrPt2Rh
_chemical_formula_sum 'Zr1 Pt2 Rh1'
_space_group_name_H-M_alt 'P m m 2'
_space_group_IT_number 25
_cell_length_a 2.9400
_cell_length_b 3.8281
_cell_length_c 5.6257
_cell_angle_alpha 90.00
_cell_angle_beta 90.00
_cell_angle_gamma 90.00
loop_
_space_group_symop_operation_xyz
'x,y,z'
'-x,-y,z'
'-x,y,z'
'x,-y,z'
loop_
_atom_site_label
_atom_site_fract_x
_atom_site_fract_y
_atom_site_fract_z
_atom_site_occupancy
Zr1 0.0000 0.0000 0.0000 1
Pt1 0.0000 0.0000 0.5104 1
Pt2 0.5000 0.5000 0.2634 1
Rh1 0.5000 0.5000 0.7494 1
```

Output
ρ	15.32	g cm⁻³
calculated formation energy	-0.745	eV per atom


A plane-wave DFT calculation with SCAN was carried out for K2CaTa at its PBEsol-relaxed geometry.

```
data_K2CaTa
_chemical_formula_sum 'K6 Ca3 Ta3'
_space_group_name_H-M_alt 'R -3 m'
_space_group_IT_number 166
_space_group_name_Hall '-R 3 2"'
_cell_length_a 3.2840
_cell_length_b 3.2840
_cell_length_c 41.2028
_cell_angle_alpha 90.00
_cell_angle_beta 90.00
_cell_angle_gamma 120.00
loop_
_atom_site_label
_atom_site_fract_x
_atom_site_fract_y
_atom_site_fract_z
_atom_site_occupancy
K1 0.0000 0.0000 0.2418 1
Ca1 0.0000 0.0000 0.0000 1
Ta1 0.0000 0.0000 0.5000 1
```

Output
ρ	3.87	g cm⁻³
calculated formation energy	1.169	eV per atom


A plane-wave DFT calculation with SCAN was carried out for BeRuCl2 at its PBEsol-relaxed geometry.

```
data_BeRuCl2
_chemical_formula_sum 'Be1 Ru1 Cl2'
_space_group_name_H-M_alt 'P 4 m m'
_space_group_IT_number 99
_cell_length_a 2.9913
_cell_length_b 2.9913
_cell_length_c 6.9716
_cell_angle_alpha 90.00
_cell_angle_beta 90.00
_cell_angle_gamma 90.00
loop_
_space_group_symop_operation_xyz
'x,y,z'
'-y,x,z'
'-x,-y,z'
'y,-x,z'
'-x,y,z'
'y,x,z'
'x,-y,z'
'-y,-x,z'
loop_
_atom_site_label
_atom_site_fract_x
_atom_site_fract_y
_atom_site_fract_z
_atom_site_occupancy
Be1 0.0000 0.0000 0.0000 1
Ru1 0.5000 0.5000 0.8491 1
Cl1 0.0000 0.0000 0.6139 1
Cl2 0.5000 0.5000 0.1872 1
```

Output
formation energy without anion corrections	-0.05	eV per atom
ρ	4.82	g cm⁻³


A plane-wave DFT calculation with SCAN was carried out for Na3AsI at its PBEsol-relaxed geometry.

```
data_Na3AsI
_chemical_formula_sum 'Na3 As1 I1'
_space_group_name_H-M_alt 'P m -3 m'
_space_group_IT_number 221
_space_group_name_Hall '-P 4 2 3'
_cell_length_a 5.5319
_cell_length_b 5.5319
_cell_length_c 5.5319
_cell_angle_alpha 90.00
_cell_angle_beta 90.00
_cell_angle_gamma 90.00
loop_
_atom_site_label
_atom_site_fract_x
_atom_site_fract_y
_atom_site_fract_z
_atom_site_occupancy
Na1 0.0000 0.0000 0.5000 1
As1 0.0000 0.0000 0.0000 1
I1 0.5000 0.5000 0.5000 1
```

Output
formation energy without anion corrections	-0.56	eV per atom
ρ	2.66	g cm⁻³


A plane-wave DFT calculation with SCAN was carried out for LaSi at its PBEsol-relaxed geometry.

```
data_LaSi
_chemical_formula_sum 'La4 Si4'
_space_group_name_H-M_alt 'P 63/m m c'
_space_group_IT_number 194
_space_group_name_Hall '-P 6c 2c'
_cell_length_a 4.0674
_cell_length_b 4.0674
_cell_length_c 15.2767
_cell_angle_alpha 90.00
_cell_angle_beta 90.00
_cell_angle_gamma 120.00
loop_
_atom_site_label
_atom_site_fract_x
_atom_site_fract_y
_atom_site_fract_z
_atom_site_occupancy
La1 0.3333 0.6667 0.1177 1
Si1 0.0000 0.0000 0.2500 1
Si2 0.3333 0.6667 0.7500 1
```

Output
formation energy without anion corrections	-0.52	eV per atom
ρ	5.07	g cm⁻³


A plane-wave DFT calculation with SCAN was carried out for CrCuRu2 at its PBEsol-relaxed geometry.

```
data_CrCuRu2
_chemical_formula_sum 'Cr2 Cu2 Ru4'
_space_group_name_H-M_alt 'C m m 2'
_space_group_IT_number 35
_cell_length_a 2.7232
_cell_length_b 4.2965
_cell_length_c 8.7155
_cell_angle_alpha 90.00
_cell_angle_beta 90.00
_cell_angle_gamma 90.00
loop_
_space_group_symop_operation_xyz
'x,y,z'
'-x,-y,z'
'-x,y,z'
'x,-y,z'
'x+1/2,y+1/2,z'
'-x+1/2,-y+1/2,z'
'-x+1/2,y+1/2,z'
'x+1/2,-y+1/2,z'
loop_
_atom_site_label
_atom_site_fract_x
_atom_site_fract_y
_atom_site_fract_z
_atom_site_occupancy
Cr1 0.0000 0.0000 0.0000 1
Cu1 0.0000 0.5000 0.7573 1
Ru1 0.0000 0.0000 0.5028 1
Ru2 0.0000 0.5000 0.2369 1
```

Output
ρ	10.35	g cm⁻³
calculated formation energy	0.442	eV per atom


Computed energy (eV per atom) in order:
-51.959 -22.057 -13.833 -14.471 -27.085 -25.367